First-principles (GGA+U) data for crystalline Ti4CoP6O24 at its relaxed geometry, as listed in Alexandria.

- Energy: -7.815 eV per atom
- Density: 3.028 Mg/m³

Cell lengths 8.5457, 8.5457, 8.5457 Å; angles 60.86, 60.86, 60.86 degrees
Last column: magnetic moment on the atom in μB.
Sites, in units of the cell vectors:
Ti1 0.3540 0.3540 0.3540  0.00
Ti2 0.8685 0.8685 0.8685  0.00
Ti3 0.6460 0.6460 0.6460  0.00
Ti4 0.1315 0.1315 0.1315  0.00
Co1 0.5000 0.5000 0.5000  2.74
P1 0.9542 0.5298 0.2538  0.00
P2 0.2538 0.9542 0.5298  0.00
P3 0.5298 0.2538 0.9542  0.00
P4 0.7462 0.0458 0.4702  0.00
P5 0.4702 0.7462 0.0458  0.00
P6 0.0458 0.4702 0.7462  0.00
O1 0.2387 0.4519 0.5800  0.03
O2 0.5800 0.2387 0.4519  0.03
O3 0.4519 0.5800 0.2387  0.03
O4 0.0935 0.9403 0.7215  0.00
O5 0.7215 0.0935 0.9403  0.00
O6 0.9403 0.7215 0.0935  0.00
O7 0.7613 0.5481 0.4200  0.03
O8 0.4200 0.7613 0.5481  0.03
O9 0.5481 0.4200 0.7613  0.03
O10 0.9065 0.0597 0.2785  0.00
O11 0.2785 0.9065 0.0597  0.00
O12 0.0597 0.2785 0.9065  0.00
O13 0.1164 0.4879 0.3189  0.00
O14 0.3189 0.1164 0.4879  0.00
O15 0.4879 0.3189 0.1164  0.00
O16 0.8034 0.0038 0.6330  0.00
O17 0.6330 0.8034 0.0038  0.00
O18 0.0038 0.6330 0.8034  0.00
O19 0.8836 0.5121 0.6811  0.00
O20 0.6811 0.8836 0.5121  0.00
O21 0.5121 0.6811 0.8836  0.00
O22 0.1966 0.9962 0.3670  0.00
O23 0.3670 0.1966 0.9962  0.00
O24 0.9962 0.3670 0.1966  0.00